This record from OQMD via LeMat-Bulk describes crystalline HfZn2Cu at its relaxed geometry. The functional is PBE.

## Properties
energy of formation: -35.6 kJ/mol of formula units
M_tot: 0.00 Bohr magnetons per cell

Unit cell a=4.4240 b=4.4240 c=4.4240 alpha=60.00 beta=60.00 gamma=60.00
Sites, in units of the cell vectors:
Cu 0.7500 0.7500 0.7500
Zn 0.5000 0.5000 0.5000
Zn 0.0000 0.0000 0.0000
Hf 0.2500 0.2500 0.2500